Below is a geometry-optimized Hf2BeCo structure, with properties calculated at the PBE-GGA level.

abc: 6.2397 6.2397 6.2397
angles: 90.00 90.00 90.00
Last column: nearest neighbours and their distance in Å.
Atoms (fractional coordinates):
Hf1 0.0000 0.0000 0.0000  4 Co 2.70, 4 Hf 2.70
Hf2 0.0000 0.5000 0.5000  4 Co 2.70, 4 Hf 2.70
Hf3 0.2500 0.2500 0.2500  4 Hf 2.70, 4 Be 2.70
Hf4 0.2500 0.7500 0.7500  4 Hf 2.70, 4 Be 2.70
Hf5 0.5000 0.0000 0.5000  4 Co 2.70, 4 Hf 2.70
Hf6 0.5000 0.5000 0.0000  4 Co 2.70, 4 Hf 2.70
Hf7 0.7500 0.2500 0.7500  4 Hf 2.70, 4 Be 2.70
Hf8 0.7500 0.7500 0.2500  4 Hf 2.70, 4 Be 2.70
Be1 0.0000 0.0000 0.5000  4 Hf 2.70, 4 Co 2.70
Be2 0.0000 0.5000 0.0000  4 Hf 2.70, 4 Co 2.70
Be3 0.5000 0.0000 0.0000  4 Hf 2.70, 4 Co 2.70
Be4 0.5000 0.5000 0.5000  4 Hf 2.70, 4 Co 2.70
Co1 0.2500 0.2500 0.7500  4 Be 2.70, 4 Hf 2.70
Co2 0.2500 0.7500 0.2500  4 Be 2.70, 4 Hf 2.70
Co3 0.7500 0.2500 0.2500  4 Be 2.70, 4 Hf 2.70
Co4 0.7500 0.7500 0.7500  4 Be 2.70, 4 Hf 2.70

- final energy (eV per cell) = -119.0
- spin magnetization (μB/cell) = 4.0
- symmetry = F-43m